Record 1
! SbPHPb2 (PBE, relaxed); values from VASP
&SYSTEM
  ibrav = 0, nat = 5, ntyp = 4
/
ATOMIC_SPECIES
Sb 121.76 Sb.upf
P 30.97 P.upf
H 1.01 H.upf
Pb 207.20 Pb.upf
ATOMIC_POSITIONS crystal
Sb 0.0000 0.0000 0.0000
P 0.5000 0.5000 0.0000
H 0.5000 0.5000 0.5000
Pb 0.0000 0.5000 0.5000
Pb 0.5000 0.0000 0.5000
CELL_PARAMETERS angstrom
5.9094 0.0000 0.0000
0.0000 5.9094 0.0000
0.0000 0.0000 3.3012
! Fermi-level density of states: 1.92 states/eV/cell
! Total moment: 0.00 μB/f.u.
! Energy: -18.843 eV per cell
! Symmetry: P4/mmm (123)


Record 2
! Hf2ZnHN (PBE, relaxed); values from VASP
&SYSTEM
  ibrav = 0, nat = 5, ntyp = 4
/
ATOMIC_SPECIES
Hf 178.49 Hf.upf
Zn 65.41 Zn.upf
H 1.01 H.upf
N 14.01 N.upf
ATOMIC_POSITIONS crystal
Hf 0.0000 0.5000 0.0000
Hf 0.5000 0.0000 0.0000
Zn 0.0000 0.0000 0.5000
H 0.5000 0.5000 0.5000
N 0.5000 0.5000 0.0000
CELL_PARAMETERS angstrom
4.5333 0.0000 0.0000
0.0000 4.5333 0.0000
0.0000 0.0000 3.2385
! Fermi-level density of states: 1.89 states/eV/cell
! Total moment: 0.00 μB/f.u.
! Energy: -33.804 eV per cell
! Symmetry: P4/mmm (123)


Record 3
! LaPmDyMg (PBE, relaxed); values from VASP
&SYSTEM
  ibrav = 0, nat = 4, ntyp = 4
/
ATOMIC_SPECIES
La 138.91 La.upf
Pm 145.00 Pm.upf
Dy 162.50 Dy.upf
Mg 24.30 Mg.upf
ATOMIC_POSITIONS crystal
La 0.0000 0.0000 0.0000
Pm 0.7500 0.7500 0.7500
Dy 0.5000 0.5000 0.5000
Mg 0.2500 0.2500 0.2500
CELL_PARAMETERS angstrom
0.0000 3.9936 3.9936
3.9936 0.0000 3.9936
3.9936 3.9936 0.0000
! Energy of formation: 0.061 eV/atom
! Fermi-level density of states: 5.77 states/eV/cell
! Total moment: 0.00 μB/f.u.
! Energy: -15.630 eV per cell
! Polymorph energy (0 for the lowest one): 91 meV per atom
! Symmetry: F-43m (216)


Record 4
! Ho4TlInO (PBE, relaxed); values from VASP
&SYSTEM
  ibrav = 0, nat = 14, ntyp = 4
/
ATOMIC_SPECIES
Ho 164.93 Ho.upf
Tl 204.38 Tl.upf
In 114.82 In.upf
O 16.00 O.upf
ATOMIC_POSITIONS crystal
Ho 0.0000 0.5000 0.0000
Ho 0.0000 0.5000 0.5000
Ho 0.0793 0.9207 0.7500
Ho 0.4197 0.5803 0.7500
Ho 0.5000 0.0000 0.0000
Ho 0.5000 0.0000 0.5000
Ho 0.5803 0.4197 0.2500
Ho 0.9207 0.0793 0.2500
Tl 0.1108 0.8892 0.2500
Tl 0.8892 0.1108 0.7500
In 0.3886 0.6114 0.2500
In 0.6114 0.3886 0.7500
O 0.2501 0.7499 0.7500
O 0.7499 0.2501 0.2500
CELL_PARAMETERS angstrom
3.2658 -8.1767 0.0000
3.2658 8.1767 0.0000
0.0000 0.0000 6.5327
! Fermi-level density of states: 3.77 states/eV/cell
! Total moment: 0.00 μB/f.u.
! Energy: -71.808 eV per cell
! Symmetry: Cmcm (63)


Record 5
! LiThSb (PBE, relaxed); values from VASP
&SYSTEM
  ibrav = 0, nat = 3, ntyp = 3
/
ATOMIC_SPECIES
Li 6.94 Li.upf
Th 232.04 Th.upf
Sb 121.76 Sb.upf
ATOMIC_POSITIONS crystal
Li 0.0000 0.0000 0.0000
Th 0.6667 0.3333 0.5000
Sb 0.3333 0.6667 0.0000
CELL_PARAMETERS angstrom
4.4798 0.0000 0.0000
-2.2399 3.8797 0.0000
0.0000 0.0000 4.2004
! Fermi-level density of states: 0.43 states/eV/cell
! Total moment: 0.00 μB/f.u.
! Energy: -15.507 eV per cell
! Polymorph energy (0 for the lowest one): 0 meV per atom
! Symmetry: P-6m2 (187)


Record 6
! Pm6ZnCo3 (PBE, relaxed); values from VASP
&SYSTEM
  ibrav = 0, nat = 20, ntyp = 3
/
ATOMIC_SPECIES
Pm 145.00 Pm.upf
Zn 65.41 Zn.upf
Co 58.93 Co.upf
ATOMIC_POSITIONS crystal
Pm 0.0190 0.2500 0.1213
Pm 0.0475 0.7500 0.3974
Pm 0.2496 0.2500 0.8254
Pm 0.3175 0.2500 0.5870
Pm 0.3376 0.2500 0.3279
Pm 0.3455 0.7500 0.0781
Pm 0.6545 0.2500 0.9219
Pm 0.6624 0.7500 0.6721
Pm 0.6825 0.7500 0.4130
Pm 0.7504 0.7500 0.1746
Pm 0.9525 0.2500 0.6026
Pm 0.9810 0.7500 0.8787
Zn 0.4378 0.7500 0.7703
Zn 0.5622 0.2500 0.2297
Co 0.1578 0.7500 0.6592
Co 0.1615 0.2500 0.9872
Co 0.4327 0.7500 0.4801
Co 0.5673 0.2500 0.5199
Co 0.8385 0.7500 0.0128
Co 0.8422 0.2500 0.3408
CELL_PARAMETERS angstrom
10.4331 0.0000 0.0000
0.0000 3.8087 0.0000
-4.5766 0.0000 13.0708
! Energy of formation: -0.067 eV/atom
! Fermi-level density of states: 20.15 states/eV/cell
! Total moment: 0.00 μB/f.u.
! Energy: -103.535 eV per cell
! Symmetry: P2_1/m (11)


Record 7
! YHo8Cd2 (PBE, relaxed); values from VASP
&SYSTEM
  ibrav = 0, nat = 11, ntyp = 3
/
ATOMIC_SPECIES
Y 88.91 Y.upf
Ho 164.93 Ho.upf
Cd 112.41 Cd.upf
ATOMIC_POSITIONS crystal
Y 0.0000 0.0000 0.0000
Ho 0.0942 0.3204 0.6144
Ho 0.2202 0.7798 0.0000
Ho 0.3204 0.0942 0.6144
Ho 0.4004 0.4004 0.2014
Ho 0.5996 0.5996 0.7986
Ho 0.6796 0.9058 0.3856
Ho 0.7798 0.2202 0.0000
Ho 0.9058 0.6796 0.3856
Cd 0.3062 0.6938 0.5000
Cd 0.6938 0.3062 0.5000
CELL_PARAMETERS angstrom
4.3724 -7.5123 0.0000
4.3724 7.5123 0.0000
-2.1195 0.0000 5.1211
! Energy of formation: 0.041 eV/atom
! Fermi-level density of states: 14.66 states/eV/cell
! Total moment: 0.00 μB/f.u.
! Energy: -44.467 eV per cell
! Symmetry: C2/m (12)


Record 8
! HfAlBi2N (PBE, relaxed); values from VASP
&SYSTEM
  ibrav = 0, nat = 5, ntyp = 4
/
ATOMIC_SPECIES
Hf 178.49 Hf.upf
Al 26.98 Al.upf
Bi 208.98 Bi.upf
N 14.01 N.upf
ATOMIC_POSITIONS crystal
Hf 0.0000 0.0000 0.0000
Al 0.5000 0.5000 0.0000
Bi 0.0000 0.5000 0.5000
Bi 0.5000 0.0000 0.5000
N 0.5000 0.5000 0.5000
CELL_PARAMETERS angstrom
5.2688 0.0000 0.0000
0.0000 5.2688 0.0000
0.0000 0.0000 3.6831
! Fermi-level density of states: 1.99 states/eV/cell
! Total moment: 0.00 μB/f.u.
! Energy: -28.799 eV per cell
! Symmetry: P4/mmm (123)


Record 9
! UPOs (PBE, relaxed); values from VASP
&SYSTEM
  ibrav = 0, nat = 6, ntyp = 3
/
ATOMIC_SPECIES
U 238.03 U.upf
P 30.97 P.upf
Os 190.23 Os.upf
ATOMIC_POSITIONS crystal
U 0.1038 0.2500 0.1240
U 0.8962 0.7500 0.8760
P 0.2425 0.7500 0.5136
P 0.7575 0.2500 0.4864
Os 0.3480 0.2500 0.6962
Os 0.6520 0.7500 0.3038
CELL_PARAMETERS angstrom
4.2519 0.0000 0.0000
0.0000 4.4507 0.0000
-1.9604 0.0000 5.3414
! Energy of formation: -0.289 eV/atom
! Fermi-level density of states: 6.94 states/eV/cell
! Total moment: 0.73 μB/f.u.
! Energy: -57.591 eV per cell
! Symmetry: P2_1/m (11)


Record 10
! PN2F (PBE, relaxed); values from VASP
&SYSTEM
  ibrav = 0, nat = 8, ntyp = 3
/
ATOMIC_SPECIES
P 30.97 P.upf
N 14.01 N.upf
F 19.00 F.upf
ATOMIC_POSITIONS crystal
P 0.0000 0.0000 0.0000
P 0.7500 0.2500 0.5000
N 0.3750 0.2191 0.3441
N 0.7809 0.1250 0.1559
N 0.8750 0.0309 0.6559
N 0.9691 0.6250 0.8441
F 0.2500 0.7500 0.5000
F 0.5000 0.5000 0.0000
CELL_PARAMETERS angstrom
-2.4131 2.4131 3.8023
2.4131 -2.4131 3.8023
2.4131 2.4131 -3.8023
! Fermi-level density of states: 9.35 states/eV/cell
! Total moment: 0.60 μB/f.u.
! Energy: -45.876 eV per cell
! Polymorph energy (0 for the lowest one): 7 meV per atom
! Symmetry: I-42d (122)


Record 11
! YCu2Ag (PBE, relaxed); values from VASP
&SYSTEM
  ibrav = 0, nat = 4, ntyp = 3
/
ATOMIC_SPECIES
Y 88.91 Y.upf
Cu 63.55 Cu.upf
Ag 107.87 Ag.upf
ATOMIC_POSITIONS crystal
Y 0.0000 0.0000 0.0000
Cu 0.0000 0.0000 0.5434
Cu 0.5000 0.5000 0.7225
Ag 0.5000 0.5000 0.3162
CELL_PARAMETERS angstrom
3.3392 0.0000 0.0000
0.0000 3.3392 0.0000
0.0000 0.0000 6.4480
! Energy of formation: -0.078 eV/atom
! Fermi-level density of states: 1.19 states/eV/cell
! Total moment: 0.00 μB/f.u.
! Energy: -17.819 eV per cell
! Polymorph energy (0 for the lowest one): 64 meV per atom
! Symmetry: P4mm (99)


Record 12
! CeAl6Ag12 (PBE, relaxed); values from VASP
&SYSTEM
  ibrav = 0, nat = 19, ntyp = 3
/
ATOMIC_SPECIES
Ce 140.12 Ce.upf
Al 26.98 Al.upf
Ag 107.87 Ag.upf
ATOMIC_POSITIONS crystal
Ce 0.0000 0.0000 0.0000
Al 0.2723 0.2723 0.7024
Al 0.2723 0.7024 0.2723
Al 0.2976 0.7277 0.7277
Al 0.7024 0.2723 0.2723
Al 0.7277 0.2976 0.7277
Al 0.7277 0.7277 0.2976
Ag 0.1171 0.5000 0.8829
Ag 0.1171 0.8829 0.5000
Ag 0.1445 0.3958 0.3958
Ag 0.3958 0.1445 0.3958
Ag 0.3958 0.3958 0.1445
Ag 0.5000 0.1171 0.8829
Ag 0.5000 0.8829 0.1171
Ag 0.6042 0.6042 0.8555
Ag 0.6042 0.8555 0.6042
Ag 0.8555 0.6042 0.6042
Ag 0.8829 0.1171 0.5000
Ag 0.8829 0.5000 0.1171
CELL_PARAMETERS angstrom
5.9162 3.4157 3.0127
-5.9162 3.4157 3.0127
0.0000 -6.8314 3.0127
! Energy of formation: -0.011 eV/atom
! Fermi-level density of states: 11.67 states/eV/cell
! Total moment: 1.12 μB/f.u.
! Energy: -62.809 eV per cell
! Symmetry: R-3m (166)


Record 13
! HfZn2W (PBE, relaxed); values from VASP
&SYSTEM
  ibrav = 0, nat = 8, ntyp = 3
/
ATOMIC_SPECIES
Hf 178.49 Hf.upf
Zn 65.41 Zn.upf
W 183.84 W.upf
ATOMIC_POSITIONS crystal
Hf 0.0000 0.0000 0.0000
Hf 0.7500 0.2500 0.5000
Zn 0.1582 0.6250 0.0332
Zn 0.3750 0.4082 0.5332
Zn 0.5918 0.1250 0.9668
Zn 0.8750 0.8418 0.4668
W 0.2500 0.7500 0.5000
W 0.5000 0.5000 0.0000
CELL_PARAMETERS angstrom
-1.9390 1.9390 9.8342
1.9390 -1.9390 9.8342
1.9390 1.9390 -9.8342
! Energy of formation: 0.587 eV/atom
! Fermi-level density of states: 7.13 states/eV/cell
! Total moment: 0.00 μB/f.u.
! Energy: -46.209 eV per cell
! Polymorph energy (0 for the lowest one): 371 meV per atom
! Symmetry: I-42d (122)


Record 14
! K2CuMo (PBE, relaxed); values from VASP
&SYSTEM
  ibrav = 0, nat = 4, ntyp = 3
/
ATOMIC_SPECIES
K 39.10 K.upf
Cu 63.55 Cu.upf
Mo 95.94 Mo.upf
ATOMIC_POSITIONS crystal
K 0.0176 0.0000 0.2606
K 0.9824 0.0000 0.7394
Cu 0.5000 0.5000 0.5000
Mo 0.5000 0.5000 0.0000
CELL_PARAMETERS angstrom
4.0325 0.0000 0.0000
0.0000 4.9911 0.0000
-0.1529 0.0000 6.2200
! Energy of formation: 1.366 eV/atom
! Fermi-level density of states: 1.96 states/eV/cell
! Total moment: 4.61 μB/f.u.
! Energy: -11.660 eV per cell
! Polymorph energy (0 for the lowest one): 499 meV per atom
! Symmetry: P2/m (10)


Record 15
! Tl2Hg7Pb2 (PBE, relaxed); values from VASP
&SYSTEM
  ibrav = 0, nat = 11, ntyp = 3
/
ATOMIC_SPECIES
Tl 204.38 Tl.upf
Hg 200.59 Hg.upf
Pb 207.20 Pb.upf
ATOMIC_POSITIONS crystal
Tl 0.1875 0.0000 0.1875
Tl 0.8125 0.0000 0.8125
Hg 0.0770 0.7593 0.3177
Hg 0.3766 0.4787 0.8979
Hg 0.4416 0.7593 0.6823
Hg 0.5672 0.2296 0.3376
Hg 0.5807 0.4787 0.1021
Hg 0.8919 0.2296 0.6624
Hg 0.9990 0.9990 0.0000
Pb 0.2404 0.7404 0.5000
Pb 0.7300 0.7300 0.0000
CELL_PARAMETERS angstrom
-1.6972 8.4393 5.6549
1.6972 -8.4393 5.6549
1.6972 8.4393 -5.6549
! Energy of formation: 0.029 eV/atom
! Fermi-level density of states: 3.17 states/eV/cell
! Total moment: 0.00 μB/f.u.
! Energy: -13.942 eV per cell
! Polymorph energy (0 for the lowest one): 0 meV per atom
! Symmetry: Imm2 (44)


Record 16
! Y2BiP (PBE, relaxed); values from VASP
&SYSTEM
  ibrav = 0, nat = 8, ntyp = 3
/
ATOMIC_SPECIES
Y 88.91 Y.upf
Bi 208.98 Bi.upf
P 30.97 P.upf
ATOMIC_POSITIONS crystal
Y 0.0818 0.6250 0.9568
Y 0.3750 0.3318 0.4568
Y 0.6682 0.1250 0.0432
Y 0.8750 0.9182 0.5432
Bi 0.2500 0.7500 0.5000
Bi 0.5000 0.5000 0.0000
P 0.0000 0.0000 0.0000
P 0.7500 0.2500 0.5000
CELL_PARAMETERS angstrom
-3.8559 3.8559 3.9164
3.8559 -3.8559 3.9164
3.8559 3.8559 -3.9164
! Energy of formation: -0.860 eV/atom
! Fermi-level density of states: 0.67 states/eV/cell
! Total moment: 0.00 μB/f.u.
! Energy: -51.314 eV per cell
! Symmetry: I-42d (122)


Record 17
! YLuZrSc (PBE, relaxed); values from VASP
&SYSTEM
  ibrav = 0, nat = 4, ntyp = 4
/
ATOMIC_SPECIES
Y 88.91 Y.upf
Lu 174.97 Lu.upf
Zr 91.22 Zr.upf
Sc 44.96 Sc.upf
ATOMIC_POSITIONS crystal
Y 0.0000 0.0000 0.0000
Lu 0.7500 0.7500 0.7500
Zr 0.5000 0.5000 0.5000
Sc 0.2500 0.2500 0.2500
CELL_PARAMETERS angstrom
0.0000 3.7759 3.7759
3.7759 0.0000 3.7759
3.7759 3.7759 0.0000
! Energy of formation: 0.180 eV/atom
! Fermi-level density of states: 9.16 states/eV/cell
! Total moment: 1.49 μB/f.u.
! Energy: -25.146 eV per cell
! Symmetry: F-43m (216)


Record 18
! Nd2BeSbPd6 (PBE, relaxed); values from VASP
&SYSTEM
  ibrav = 0, nat = 10, ntyp = 4
/
ATOMIC_SPECIES
Nd 144.24 Nd.upf
Be 9.01 Be.upf
Sb 121.76 Sb.upf
Pd 106.42 Pd.upf
ATOMIC_POSITIONS crystal
Nd 0.2458 0.2458 0.3008
Nd 0.7542 0.7542 0.6992
Be 0.5000 0.5000 0.0000
Sb 0.0000 0.0000 0.5000
Pd 0.1743 0.6965 0.1521
Pd 0.2808 0.2808 0.7627
Pd 0.3035 0.8257 0.8479
Pd 0.6965 0.1743 0.1521
Pd 0.7192 0.7192 0.2373
Pd 0.8257 0.3035 0.8479
CELL_PARAMETERS angstrom
5.0568 -2.9764 0.0000
5.0568 2.9764 0.0000
-3.2289 0.0000 6.5340
! Fermi-level density of states: 4.82 states/eV/cell
! Total moment: 0.00 μB/f.u.
! Energy: -54.973 eV per cell
! Symmetry: C2/m (12)


Record 19
! Be3NiMo (PBE, relaxed); values from VASP
&SYSTEM
  ibrav = 0, nat = 5, ntyp = 3
/
ATOMIC_SPECIES
Be 9.01 Be.upf
Ni 58.69 Ni.upf
Mo 95.94 Mo.upf
ATOMIC_POSITIONS crystal
Be 0.0000 0.0000 0.5000
Be 0.0000 0.5000 0.0000
Be 0.5000 0.0000 0.0000
Ni 0.5000 0.5000 0.5000
Mo 0.0000 0.0000 0.0000
CELL_PARAMETERS angstrom
4.1747 0.0000 0.0000
0.0000 4.1747 0.0000
0.0000 0.0000 4.1747
! Energy of formation: 1.517 eV/atom
! Fermi-level density of states: 0.88 states/eV/cell
! Total moment: 0.00 μB/f.u.
! Energy: -20.206 eV per cell
! Polymorph energy (0 for the lowest one): 1102 meV per atom
! Symmetry: Pm-3m (221)


Record 20
! Sr2AgIr (PBE, relaxed); values from VASP
&SYSTEM
  ibrav = 0, nat = 4, ntyp = 3
/
ATOMIC_SPECIES
Sr 87.62 Sr.upf
Ag 107.87 Ag.upf
Ir 192.22 Ir.upf
ATOMIC_POSITIONS crystal
Sr 0.0000 0.0000 0.0000
Sr 0.7500 0.2500 0.5000
Ag 0.2500 0.7500 0.5000
Ir 0.5000 0.5000 0.0000
CELL_PARAMETERS angstrom
-2.2619 2.2619 4.9564
2.2619 -2.2619 4.9564
2.2619 2.2619 -4.9564
! Energy of formation: 0.065 eV/atom
! Fermi-level density of states: 1.56 states/eV/cell
! Total moment: 0.00 μB/f.u.
! Energy: -14.817 eV per cell
! Symmetry: I-4m2 (119)